Entry 1:
This record from Alexandria describes an optimized crystal structure of Ti2Zn2Fe. The functional is PBE-GGA.

Lattice parameters (Å, degrees): 6.5530 6.5530 3.4329 90.00 90.00 90.00
Space group P4/mbm (No. 127)
One atom of each set of equivalent atoms:
Ti 0.1757 0.3243 0.0000 [4 per cell]
Zn 0.1301 0.6301 0.5000 [4 per cell]
Fe 0.0000 0.0000 0.5000 [2 per cell]

* calculated formation energy: 0.0798 eV/atom

=====

Entry 2:
This record from Alexandria describes an optimized crystal structure of Ti3ZnFe. The functional is PBE-GGA.

Lattice parameters (Å, degrees): 4.5719 4.5719 4.5719 90.00 90.00 90.00
Space group Pm-3m (No. 221)
One atom of each set of equivalent atoms:
Ti 0.0000 0.0000 0.5000 [3 per cell]
Zn 0.0000 0.0000 0.0000 [1 per cell]
Fe 0.5000 0.5000 0.5000 [1 per cell]

* energy above the most stable polymorph in this dataset: 936 meV/atom
* calculated formation energy: 1.2269 eV/atom

=====

Entry 3:
This record from Alexandria describes an optimized crystal structure of TiZn2Fe. The functional is PBE-GGA.

Lattice parameters (Å, degrees): 3.5274 3.5274 18.8348 90.00 90.00 90.00
Space group I-42d (No. 122)
One atom of each set of equivalent atoms:
Ti 0.0000 0.0000 0.0000 [4 per cell]
Zn 0.2356 0.2500 0.6250 [8 per cell]
Fe 0.0000 0.0000 0.5000 [4 per cell]

* energy above the most stable polymorph in this dataset: 371 meV/atom
* calculated formation energy: 0.2638 eV/atom

=====

Entry 4:
This record from Alexandria describes an optimized crystal structure of TiZn2Fe2. The functional is PBE-GGA.

Lattice parameters (Å, degrees): 7.2544 7.2544 2.6013 90.00 90.00 90.00
Space group P4/mbm (No. 127)
One atom of each set of equivalent atoms:
Ti 0.0000 0.0000 0.0000 [2 per cell]
Zn 0.1794 0.3206 0.5000 [4 per cell]
Fe 0.1159 0.6159 0.0000 [4 per cell]

* energy above the most stable polymorph in this dataset: 0 meV/atom
* calculated formation energy: 0.0554 eV/atom

=====

Entry 5:
This record from Alexandria describes an optimized crystal structure of Ti6Zn2Fe. The functional is PBE-GGA.

Lattice parameters (Å, degrees): 7.4333 7.4333 2.9875 90.00 90.00 120.00
Space group P-62m (No. 189)
One atom of each set of equivalent atoms:
Ti 0.0000 0.2541 0.0000 [3 per cell]
Ti 0.0000 0.6134 0.5000 [3 per cell]
Zn 0.3333 0.6667 0.0000 [2 per cell]
Fe 0.0000 0.0000 0.5000 [1 per cell]

* calculated formation energy: -0.1310 eV/atom

=====

Entry 6:
This record from Alexandria describes an optimized crystal structure of Ti2ZnFe2. The functional is PBE-GGA.

Lattice parameters (Å, degrees): 7.0408 7.0408 2.8140 90.00 90.00 90.00
Space group P4/mbm (No. 127)
One atom of each set of equivalent atoms:
Ti 0.1439 0.3561 0.0000 [4 per cell]
Zn 0.0000 0.0000 0.0000 [2 per cell]
Fe 0.1543 0.6543 0.5000 [4 per cell]

* energy above the most stable polymorph in this dataset: 186 meV/atom
* calculated formation energy: 0.0530 eV/atom

=====

Entry 7:
This record from Alexandria describes an optimized crystal structure of TiZnFe2. The functional is PBE-GGA.

Lattice parameters (Å, degrees): 3.6218 3.6218 17.5443 90.00 90.00 90.00
Space group I-42d (No. 122)
One atom of each set of equivalent atoms:
Ti 0.0000 0.0000 0.0000 [4 per cell]
Zn 0.0000 0.0000 0.5000 [4 per cell]
Fe 0.2456 0.2500 0.6250 [8 per cell]

* calculated formation energy: 0.3340 eV/atom

=====

Entry 8:
This record from Alexandria describes an optimized crystal structure of Ti2ZnFe2. The functional is PBE-GGA.

Lattice parameters (Å, degrees): 6.7964 6.7964 2.9623 90.00 90.00 90.00
Space group P4/mbm (No. 127)
One atom of each set of equivalent atoms:
Ti 0.1577 0.3423 0.0000 [4 per cell]
Zn 0.0000 0.0000 0.5000 [2 per cell]
Fe 0.1414 0.6414 0.5000 [4 per cell]

* energy above the most stable polymorph in this dataset: 0 meV/atom
* calculated formation energy: -0.1325 eV/atom

=====

Entry 9:
This record from Alexandria describes an optimized crystal structure of Ti5ZnFe. The functional is PBE-GGA.

Lattice parameters (Å, degrees): 7.1509 6.6490 9.7096 90.00 104.70 90.00
Space group C2/c (No. 15)
One atom of each set of equivalent atoms:
Ti 0.0000 0.0203 0.2500 [4 per cell]
Ti 0.1345 0.3526 0.0637 [8 per cell]
Ti 0.2369 0.3240 0.3760 [8 per cell]
Zn 0.0000 0.3801 0.7500 [4 per cell]
Fe 0.0000 0.0000 0.0000 [4 per cell]

* calculated formation energy: -0.0025 eV/atom

=====

Entry 10:
This record from Alexandria describes an optimized crystal structure of TiZn2Fe. The functional is PBE-GGA.

Lattice parameters (Å, degrees): 6.0009 6.0009 6.0009 90.00 90.00 90.00
Space group Fm-3m (No. 225)
One atom of each set of equivalent atoms:
Ti 0.0000 0.0000 0.0000 [4 per cell]
Zn 0.2500 0.2500 0.2500 [8 per cell]
Fe 0.0000 0.0000 0.5000 [4 per cell]

* energy above the most stable polymorph in this dataset: 135 meV/atom
* calculated formation energy: 0.0274 eV/atom

=====

Copy entry 6 word for word.
This record from Alexandria describes an optimized crystal structure of Ti2ZnFe2. The functional is PBE-GGA.

Lattice parameters (Å, degrees): 7.0408 7.0408 2.8140 90.00 90.00 90.00
Space group P4/mbm (No. 127)
One atom of each set of equivalent atoms:
Ti 0.1439 0.3561 0.0000 [4 per cell]
Zn 0.0000 0.0000 0.0000 [2 per cell]
Fe 0.1543 0.6543 0.5000 [4 per cell]

* energy above the most stable polymorph in this dataset: 186 meV/atom
* calculated formation energy: 0.0530 eV/atom

=====

Question: Among the records above, which one has the lowest calculated formation energy?
Answer: number 8

=====

Question: What is the formula in the third record?
Answer: TiZn2Fe